[1]
Entry from the Alexandria database: an optimized crystal structure of Nd2BeGaPt6 (PBE-GGA).

Calculated values
Calculated formation energy   -0.659 eV per atom

a = 9.148 Å, b = 9.148 Å, c = 9.148 Å
α = 90.00°, β = 90.00°, γ = 90.00°
Space group Fm-3m (No. 225)
Inequivalent atoms, fractional coordinates:
Nd: 0.250 0.250 0.250 x8
Be: 0.000 0.000 0.000 x4
Ga: 0.000 0.000 0.500 x4
Pt: 0.000 0.000 0.235 x24



[2]
Entry from the Alexandria database: an optimized crystal structure of RbBa2PPd (PBE-GGA).

Calculated values
Calculated formation energy   0.841 eV per atom

a = 6.439 Å, b = 6.439 Å, c = 5.168 Å
α = 90.00°, β = 90.00°, γ = 90.00°
Space group P4/mmm (No. 123)
Inequivalent atoms, fractional coordinates:
Rb: 0.000 0.000 0.000 x1
Ba: 0.000 0.500 0.000 x2
P: 0.000 0.000 0.500 x1
Pd: 0.500 0.500 0.500 x1



[3]
Entry from the Alexandria database: an optimized crystal structure of CaCdSi2Te (PBE-GGA).

Calculated values
Total energy   -12.3 eV for the cell shown

a = 5.483 Å, b = 5.483 Å, c = 5.658 Å
α = 90.00°, β = 90.00°, γ = 90.00°
Space group P4/mmm (No. 123)
Inequivalent atoms, fractional coordinates:
Ca: 0.000 0.000 0.000 x1
Cd: 0.500 0.500 0.500 x1
Si: 0.000 0.500 0.000 x2
Te: 0.000 0.000 0.500 x1



[4]
Entry from the Alexandria database: an optimized crystal structure of Cs2MnPS4 (PBE-GGA).

Calculated values
Total energy   -309.4 eV for the cell shown

a = 6.190 Å, b = 13.636 Å, c = 24.835 Å
α = 90.00°, β = 90.00°, γ = 90.00°
Space group Fddd (No. 70, origin choice 2)
Inequivalent atoms, fractional coordinates:
Cs: 0.125 0.125 0.301 x16
Mn: 0.125 0.125 0.125 x8
P: 0.125 0.125 0.625 x8
S: 0.099 0.289 0.829 x32



[5]
Entry from the Alexandria database: an optimized crystal structure of CsMgI2 (PBE-GGA).

Calculated values
Energy above the lowest structure with this stoichiometry   0.0000 eV/atom

a = 7.544 Å, b = 7.544 Å, c = 17.099 Å
α = 90.00°, β = 90.00°, γ = 90.00°
Space group I-42d (No. 122)
Inequivalent atoms, fractional coordinates:
Cs: 0.000 0.000 0.000 x4
Mg: 0.000 0.000 0.500 x4
I: 0.152 0.250 0.625 x8



[6]
Entry from the Alexandria database: an optimized crystal structure of PrIn2Ge2Pt7 (PBE-GGA).

Calculated values
Calculated formation energy   -0.524 eV per atom

a = 5.706 Å, b = 5.735 Å, c = 14.763 Å
α = 90.00°, β = 97.70°, γ = 90.00°
Space group C2/m (No. 12)
Inequivalent atoms, fractional coordinates:
Pr: 0.000 0.000 0.000 x2
In: 0.109 0.000 0.405 x4
Ge: 0.088 0.500 0.255 x4
Pt: 0.000 0.500 0.000 x2
Pt: 0.115 0.500 0.420 x4
Pt: 0.196 0.250 0.844 x8



[7]
Entry from the Alexandria database: an optimized crystal structure of TiZnMoC2 (PBE-GGA).

Calculated values
Calculated formation energy   2.298 eV per atom

a = 3.843 Å, b = 3.843 Å, c = 4.718 Å
α = 90.00°, β = 90.00°, γ = 90.00°
Space group P4/mmm (No. 123)
Inequivalent atoms, fractional coordinates:
Ti: 0.000 0.000 0.000 x1
Zn: 0.000 0.000 0.500 x1
Mo: 0.500 0.500 0.000 x1
C: 0.000 0.500 0.500 x2



[8]
Entry from the Alexandria database: an optimized crystal structure of ZnFe2NiH (PBE-GGA).

Calculated values
Energy above the lowest structure with this stoichiometry   0.0000 eV/atom

a = 3.636 Å, b = 3.636 Å, c = 3.759 Å
α = 90.00°, β = 90.00°, γ = 90.00°
Space group P4/mmm (No. 123)
Inequivalent atoms, fractional coordinates:
Zn: 0.000 0.000 0.000 x1
Fe: 0.000 0.500 0.500 x2
Ni: 0.500 0.500 0.000 x1
H: 0.500 0.500 0.500 x1